[1]
DFT (GGA-PBE) results for crystalline Mg2FeAu at its relaxed geometry.

Cell and atoms, written as CIF:
```
data_Mg2FeAu
_chemical_formula_sum 'Mg2 Fe1 Au1'
_cell_length_a 3.2729
_cell_length_b 3.2729
_cell_length_c 6.5703
_cell_angle_alpha 90.00
_cell_angle_beta 90.00
_cell_angle_gamma 90.00
_symmetry_space_group_name_H-M 'P 1'
_symmetry_Int_Tables_number 1
_symmetry_space_group_name_Hall 'P 1'
loop_
_atom_site_label
_atom_site_fract_x
_atom_site_fract_y
_atom_site_fract_z
Au1 0.0000 0.0000 0.5169
Fe1 0.5000 0.5000 0.7390
Mg1 0.0000 0.0000 0.9656
Mg2 0.5000 0.5000 0.2785
```

Spin magnetization, Bohr magnetons per cell: 2.81
Energy of formation from the pure elements, meV/atom: -16
N(E_F), states/eV per cell: 3.63

***

[2]
DFT (GGA-PBE) results for crystalline MgFe2Au at its relaxed geometry.

Cell and atoms, written as CIF:
```
data_MgFe2Au
_chemical_formula_sum 'Mg1 Fe2 Au1'
_cell_length_a 4.3642
_cell_length_b 4.3642
_cell_length_c 4.3642
_cell_angle_alpha 60.00
_cell_angle_beta 60.00
_cell_angle_gamma 60.00
_symmetry_space_group_name_H-M 'P 1'
_symmetry_Int_Tables_number 1
_symmetry_space_group_name_Hall 'P 1'
loop_
_atom_site_label
_atom_site_fract_x
_atom_site_fract_y
_atom_site_fract_z
Au1 0.5000 0.5000 0.5000
Fe1 0.0000 0.0000 0.0000
Fe2 0.2500 0.2500 0.2500
Mg1 0.7500 0.7500 0.7500
```

Spin magnetization, Bohr magnetons per cell: 5.00
Energy of formation from the pure elements, meV/atom: 59
N(E_F), states/eV per cell: 2.07

***

[3]
DFT (GGA-PBE) results for crystalline MgFe2Au at its relaxed geometry.

Cell and atoms, written as CIF:
```
data_MgFe2Au
_chemical_formula_sum 'Mg2 Fe4 Au2'
_cell_length_a 3.6685
_cell_length_b 3.6685
_cell_length_c 9.9587
_cell_angle_alpha 79.39
_cell_angle_beta 79.39
_cell_angle_gamma 90.00
_symmetry_space_group_name_H-M 'P 1'
_symmetry_Int_Tables_number 1
_symmetry_space_group_name_Hall 'P 1'
loop_
_atom_site_label
_atom_site_fract_x
_atom_site_fract_y
_atom_site_fract_z
Mg1 0.5000 0.5000 0.0000
Mg2 0.2500 0.7500 0.5000
Au1 0.0000 0.0000 0.0000
Au2 0.7500 0.2500 0.5000
Fe1 0.6370 0.1250 0.2500
Fe2 0.1130 0.6250 0.2500
Fe3 0.3750 0.3630 0.7500
Fe4 0.8750 0.8870 0.7500
```

Spin magnetization, Bohr magnetons per cell: 10.75
Energy of formation from the pure elements, meV/atom: 326
N(E_F), states/eV per cell: 6.66

***

[4]
DFT (GGA-PBE) results for crystalline MgFeAu at its relaxed geometry.

Cell and atoms, written as CIF:
```
data_MgFeAu
_chemical_formula_sum 'Mg1 Fe1 Au1'
_cell_length_a 6.0951
_cell_length_b 6.0951
_cell_length_c 2.9051
_cell_angle_alpha 76.21
_cell_angle_beta 76.21
_cell_angle_gamma 27.57
_symmetry_space_group_name_H-M 'P 1'
_symmetry_Int_Tables_number 1
_symmetry_space_group_name_Hall 'P 1'
loop_
_atom_site_label
_atom_site_fract_x
_atom_site_fract_y
_atom_site_fract_z
Au1 0.0057 0.0057 0.9943
Fe1 0.6647 0.6647 0.3353
Mg1 0.3296 0.3296 0.6704
```

Spin magnetization, Bohr magnetons per cell: 2.52
Energy of formation from the pure elements, meV/atom: -5
N(E_F), states/eV per cell: 1.55

***

[5]
DFT (GGA-PBE) results for crystalline MgFe2Au at its relaxed geometry.

Cell and atoms, written as CIF:
```
data_MgFe2Au
_chemical_formula_sum 'Mg1 Fe2 Au1'
_cell_length_a 2.7825
_cell_length_b 2.7825
_cell_length_c 7.8727
_cell_angle_alpha 90.00
_cell_angle_beta 90.00
_cell_angle_gamma 90.00
_symmetry_space_group_name_H-M 'P 1'
_symmetry_Int_Tables_number 1
_symmetry_space_group_name_Hall 'P 1'
loop_
_atom_site_label
_atom_site_fract_x
_atom_site_fract_y
_atom_site_fract_z
Au1 0.5000 0.5000 0.7500
Fe1 0.0000 0.0000 0.9988
Fe2 0.0000 0.0000 0.5012
Mg1 0.5000 0.5000 0.2500
```

Spin magnetization, Bohr magnetons per cell: 5.34
Energy of formation from the pure elements, meV/atom: 233
N(E_F), states/eV per cell: 3.36

***

[6]
DFT (GGA-PBE) results for crystalline Mg2FeAu at its relaxed geometry.

Cell and atoms, written as CIF:
```
data_Mg2FeAu
_chemical_formula_sum 'Mg2 Fe1 Au1'
_cell_length_a 5.0750
_cell_length_b 5.0750
_cell_length_c 5.0750
_cell_angle_alpha 133.70
_cell_angle_beta 133.70
_cell_angle_gamma 67.56
_symmetry_space_group_name_H-M 'P 1'
_symmetry_Int_Tables_number 1
_symmetry_space_group_name_Hall 'P 1'
loop_
_atom_site_label
_atom_site_fract_x
_atom_site_fract_y
_atom_site_fract_z
Au1 0.5000 0.5000 0.0000
Fe1 0.7500 0.2500 0.5000
Mg1 0.0000 0.0000 0.0000
Mg2 0.2500 0.7500 0.5000
```

Spin magnetization, Bohr magnetons per cell: 2.74
Energy of formation from the pure elements, meV/atom: -65
N(E_F), states/eV per cell: 3.65

***

[7]
DFT (GGA-PBE) results for crystalline Mg2FeAu at its relaxed geometry.

Cell and atoms, written as CIF:
```
data_Mg2FeAu
_chemical_formula_sum 'Mg2 Fe1 Au1'
_cell_length_a 5.2458
_cell_length_b 5.2458
_cell_length_c 4.6947
_cell_angle_alpha 72.11
_cell_angle_beta 72.11
_cell_angle_gamma 34.28
_symmetry_space_group_name_H-M 'P 1'
_symmetry_Int_Tables_number 1
_symmetry_space_group_name_Hall 'P 1'
loop_
_atom_site_label
_atom_site_fract_x
_atom_site_fract_y
_atom_site_fract_z
Au1 0.5142 0.5142 0.5161
Fe1 0.2380 0.2380 0.2312
Mg1 0.9831 0.9831 0.0402
Mg2 0.7647 0.7647 0.7126
```

Spin magnetization, Bohr magnetons per cell: 2.61
Energy of formation from the pure elements, meV/atom: -58
N(E_F), states/eV per cell: 2.92

***

[8]
DFT (GGA-PBE) results for crystalline Mg2FeAu at its relaxed geometry.

Cell and atoms, written as CIF:
```
data_Mg2FeAu
_chemical_formula_sum 'Mg2 Fe1 Au1'
_cell_length_a 4.5726
_cell_length_b 4.5726
_cell_length_c 4.5726
_cell_angle_alpha 60.00
_cell_angle_beta 60.00
_cell_angle_gamma 60.00
_symmetry_space_group_name_H-M 'P 1'
_symmetry_Int_Tables_number 1
_symmetry_space_group_name_Hall 'P 1'
loop_
_atom_site_label
_atom_site_fract_x
_atom_site_fract_y
_atom_site_fract_z
Au1 0.5000 0.5000 0.5000
Fe1 0.7500 0.7500 0.7500
Mg1 0.0000 0.0000 0.0000
Mg2 0.2500 0.2500 0.2500
```

Spin magnetization, Bohr magnetons per cell: 2.78
Energy of formation from the pure elements, meV/atom: -12
N(E_F), states/eV per cell: 5.47

***

[9]
DFT (GGA-PBE) results for crystalline MgFe2Au at its relaxed geometry.

Cell and atoms, written as CIF:
```
data_MgFe2Au
_chemical_formula_sum 'Mg1 Fe2 Au1'
_cell_length_a 4.6946
_cell_length_b 4.6946
_cell_length_c 3.9148
_cell_angle_alpha 65.36
_cell_angle_beta 65.36
_cell_angle_gamma 50.01
_symmetry_space_group_name_H-M 'P 1'
_symmetry_Int_Tables_number 1
_symmetry_space_group_name_Hall 'P 1'
loop_
_atom_site_label
_atom_site_fract_x
_atom_site_fract_y
_atom_site_fract_z
Au1 0.2495 0.2495 0.2505
Fe1 0.9979 0.9979 0.0022
Fe2 0.7518 0.7518 0.7480
Mg1 0.5008 0.5008 0.4992
```

Spin magnetization, Bohr magnetons per cell: 4.99
Energy of formation from the pure elements, meV/atom: 52
N(E_F), states/eV per cell: 1.86

***

[10]
DFT (GGA-PBE) results for crystalline MgFeAu2 at its relaxed geometry.

Cell and atoms, written as CIF:
```
data_MgFeAu2
_chemical_formula_sum 'Mg1 Fe1 Au2'
_cell_length_a 4.5568
_cell_length_b 4.5568
_cell_length_c 4.5568
_cell_angle_alpha 60.00
_cell_angle_beta 60.00
_cell_angle_gamma 60.00
_symmetry_space_group_name_H-M 'P 1'
_symmetry_Int_Tables_number 1
_symmetry_space_group_name_Hall 'P 1'
loop_
_atom_site_label
_atom_site_fract_x
_atom_site_fract_y
_atom_site_fract_z
Au1 0.0000 0.0000 0.0000
Au2 0.7500 0.7500 0.7500
Fe1 0.5000 0.5000 0.5000
Mg1 0.2500 0.2500 0.2500
```

Spin magnetization, Bohr magnetons per cell: 3.08
Energy of formation from the pure elements, meV/atom: -33
N(E_F), states/eV per cell: 4.05

***

[11]
DFT (GGA-PBE) results for crystalline MgFeAu2 at its relaxed geometry.

Cell and atoms, written as CIF:
```
data_MgFeAu2
_chemical_formula_sum 'Mg1 Fe1 Au2'
_cell_length_a 5.1210
_cell_length_b 5.1210
_cell_length_c 5.1210
_cell_angle_alpha 134.99
_cell_angle_beta 134.99
_cell_angle_gamma 65.55
_symmetry_space_group_name_H-M 'P 1'
_symmetry_Int_Tables_number 1
_symmetry_space_group_name_Hall 'P 1'
loop_
_atom_site_label
_atom_site_fract_x
_atom_site_fract_y
_atom_site_fract_z
Au1 0.0000 0.0000 0.0000
Au2 0.2500 0.7500 0.5000
Fe1 0.5000 0.5000 0.0000
Mg1 0.7500 0.2500 0.5000
```

Spin magnetization, Bohr magnetons per cell: 2.99
Energy of formation from the pure elements, meV/atom: -108
N(E_F), states/eV per cell: 4.29

***

[12]
DFT (GGA-PBE) results for crystalline MgFeAu at its relaxed geometry.

Cell and atoms, written as CIF:
```
data_MgFeAu
_chemical_formula_sum 'Mg1 Fe1 Au1'
_cell_length_a 4.9670
_cell_length_b 4.9670
_cell_length_c 4.9670
_cell_angle_alpha 145.34
_cell_angle_beta 135.31
_cell_angle_gamma 57.76
_symmetry_space_group_name_H-M 'P 1'
_symmetry_Int_Tables_number 1
_symmetry_space_group_name_Hall 'P 1'
loop_
_atom_site_label
_atom_site_fract_x
_atom_site_fract_y
_atom_site_fract_z
Au1 0.9955 0.9955 0.0000
Fe1 0.3371 0.3371 0.0000
Mg1 0.6674 0.6674 0.0000
```

Spin magnetization, Bohr magnetons per cell: 2.83
Energy of formation from the pure elements, meV/atom: 11
N(E_F), states/eV per cell: 2.98